Material: Mg2CrTe
Method: DFT, PBE
State: relaxed

abc: 3.801 3.801 5.965
angles: 90.00 90.00 90.00
Space group P4/mmm (No. 123)
One atom of each set of equivalent atoms:
1 Mg 0.000 0.000 0.237 (multiplicity 2)
2 Cr 0.500 0.500 0.000 (multiplicity 1)
3 Te 0.500 0.500 0.500 (multiplicity 1)

Results
The calculated total energy comes out at -3.9234 eV/atom.